A relaxed AcScSe3 crystal, computed with PBE.

Cell lengths 5.151, 5.151, 5.151 Å; angles 90.00, 90.00, 90.00 degrees
Sites, in units of the cell vectors:
1 Ac 0.000 0.000 0.000
2 Sc 0.500 0.500 0.500
3 Se 0.000 0.500 0.500
4 Se 0.500 0.000 0.500
5 Se 0.500 0.500 0.000

Properties
distance to the lowest polymorph of the same formula	0.247	eV/atom
raw formation energy	-1.641	eV per atom